18
Lattice="-2.259 -5.368 4.309 7.468 -3.166 -0.028 -1.227 7.474 2.578" Properties=species:S:1:pos:R:3 comment="CsNaInF6 (GGA-PBE, relaxed)" total_energy_ev_per_cell=-74.38 n_ef_per_ev_cell=10.657 pbc="T T T"
F -0.641 -0.681 2.452
F 3.706 -2.524 2.435
F 0.276 1.464 4.423
F 5.945 -1.575 1.155
F -1.963 0.515 5.703
F 1.186 3.627 2.687
F -1.551 -2.844 4.188
F 4.623 -0.379 4.406
F 3.083 2.040 4.159
F 5.533 1.784 2.670
F 0.899 -3.100 2.699
F 2.796 -4.687 4.172
In 2.604 -4.267 2.140
In -1.130 -2.684 2.154
Na -0.613 3.737 1.289
Na -1.743 1.053 3.443
Cs 2.229 0.050 1.231
Cs 1.753 -1.110 5.627


4
Lattice="4.260 0.000 0.000 0.000 2.694 -0.001 0.000 0.001 4.698" Properties=species:S:1:pos:R:3 comment="CrRuRh2 (GGA-PBE, relaxed)" delta_e_f_ev_per_atom=-0.071 total_energy_ev_per_cell=-33.88 n_ef_per_ev_cell=3.659 pbc="T T T"
Cr 2.130 1.685 3.673
Rh 0.000 0.338 4.491
Rh 2.130 0.337 1.393
Ru 0.000 1.685 2.189


4
Lattice="4.666 -0.007 -0.056 1.568 4.395 0.056 -3.080 -2.246 2.691" Properties=species:S:1:pos:R:3 comment="TaNi2Mo (GGA-PBE, relaxed)" delta_e_f_ev_per_atom=-0.123 polymorph_energy_mev_per_atom=8.4 total_energy_ev_per_cell=-34.74 n_ef_per_ev_cell=2.841 pbc="T T T"
Ni 0.000 0.000 0.000
Ni 3.117 2.194 0.000
Ta 2.352 -0.030 1.318
Mo 0.803 2.171 1.374


8
Lattice="-4.191 -4.767 1.491 1.784 -3.247 -5.365 0.633 -5.204 -0.602" Properties=species:S:1:pos:R:3 comment="MgMnCo2 (GGA-PBE, relaxed)" delta_e_f_ev_per_atom=0.545 total_energy_ev_per_cell=-45.59 n_ef_per_ev_cell=11.321 pbc="T T T"
Co -0.507 -6.764 -1.665
Co 0.936 -3.715 -3.384
Co -1.552 -11.060 -4.080
Co -2.425 -4.898 0.177
Mg 0.607 -6.229 -3.952
Mg -1.204 -4.007 -1.937
Mn 0.000 0.000 0.000
Mn -2.381 -6.989 -0.524


8
Lattice="-4.867 3.411 3.404 -1.871 -2.045 6.263 2.099 4.155 5.728" Properties=species:S:1:pos:R:3 comment="TmPaCl6 (GGA-PBE, relaxed)" total_energy_ev_per_cell=-40.40 n_ef_per_ev_cell=10.749 pbc="T T T"
Pa 0.000 0.000 0.000
Cl -2.853 2.580 5.137
Cl -1.787 2.942 10.259
Cl -2.378 0.147 7.903
Cl 0.245 2.654 7.163
Cl -2.262 5.375 7.492
Cl -4.885 2.868 8.232
Tm -2.320 2.761 7.698


4
Lattice="5.180 0.000 0.000 2.590 4.486 0.000 2.590 1.495 4.230" Properties=species:S:1:pos:R:3 comment="LaCdPdPb (GGA-PBE, relaxed)" delta_e_f_ev_per_atom=-0.471 total_energy_ev_per_cell=-16.63 n_ef_per_ev_cell=2.248 pbc="T T T"
Pb 5.180 2.991 2.115
Pd 2.590 1.495 1.057
La 0.000 0.000 0.000
Cd 7.771 4.486 3.172